LiEuNi | PBE | optimized geometry

Output
ΔE to the lowest computed polymorph = 0.0325 eV/atom
Crystal system = tetragonal
Calculated total energy = -35.4 eV per cell
M_tot = 7.27 μB per formula unit
Formation energy from the elements = 0.0943 eV per atom

a = 3.440 Å, b = 3.440 Å, c = 10.097 Å
α = 90.00°, β = 90.00°, γ = 90.00°
Space group I4mm (No. 107)
Inequivalent atoms, fractional coordinates:
1 Li 0.000 0.000 0.000 [2 per cell]
2 Eu 0.000 0.000 0.279 [2 per cell]
3 Ni 0.000 0.000 0.602 [2 per cell]


Nd6Sn3Pb | PBE | optimized geometry

Output
Crystal system = orthorhombic
Calculated total energy = -195.9 eV per cell
M_tot = 0.00 μB per formula unit
Formation energy from the elements = -0.4643 eV per atom

a = 10.852 Å, b = 15.902 Å, c = 7.704 Å
α = 90.00°, β = 90.00°, γ = 90.00°
Space group Cmc2_1 (No. 36)
Inequivalent atoms, fractional coordinates:
1 Nd 0.000 0.032 0.000 [4 per cell]
2 Nd 0.000 0.287 0.077 [4 per cell]
3 Nd 0.201 0.295 0.505 [8 per cell]
4 Nd 0.213 0.460 0.153 [8 per cell]
5 Sn 0.000 0.439 0.429 [4 per cell]
6 Sn 0.146 0.124 0.308 [8 per cell]
7 Pb 0.000 0.166 0.699 [4 per cell]


Rb3NbRh | PBE | optimized geometry

Output
Crystal system = cubic
Calculated total energy = -12.8 eV per cell
M_tot = 5.64 μB per formula unit
Formation energy from the elements = 1.5104 eV per atom

a = 6.146 Å, b = 6.146 Å, c = 6.146 Å
α = 90.00°, β = 90.00°, γ = 90.00°
Space group Pm-3m (No. 221)
Inequivalent atoms, fractional coordinates:
1 Rb 0.000 0.000 0.500 [3 per cell]
2 Nb 0.500 0.500 0.500 [1 per cell]
3 Rh 0.000 0.000 0.000 [1 per cell]